Entry 1:
Here is a relaxed structure of RbBiSbPd2 from Alexandria. Energies are from PBE.

Unit cell a=6.8571 b=4.7013 c=10.4413 alpha=90.00 beta=105.19 gamma=90.00
With the nearest neighbours (Å) after each atom.
Space group P2_1/m (No. 11)
Inequivalent atoms, fractional coordinates:
Rb (0.0569, 0.2500, 0.2742) [2 per cell]  4 Pd 3.50-3.90, 3 Sb 3.75-3.84
Bi (0.3692, 0.7500, 0.0622) [2 per cell]  4 Pd 2.76-2.85
Sb (0.3526, 0.7500, 0.5474) [2 per cell]  4 Pd 2.65-2.71
Pd (0.4717, 0.7500, 0.8161) [2 per cell]  1 Sb 2.71, 3 Bi 2.76-2.84, 2 Pd 2.88
Pd (0.4738, 0.2500, 0.6563) [2 per cell]  3 Sb 2.65-2.70, 1 Bi 2.85, 2 Pd 2.88

Results
Magnetization = 0.00 Bohr magnetons per cell
Raw formation energy = -1.86 eV/f.u.



Entry 2:
Here is a relaxed structure of ThScZnHg from Alexandria. Energies are from PBE.

Unit cell a=7.2782 b=7.2782 c=7.2782 alpha=90.00 beta=90.00 gamma=90.00
With the nearest neighbours (Å) after each atom.
Space group F-43m (No. 216)
Inequivalent atoms, fractional coordinates:
Th (0.0000, 0.0000, 0.0000) [4 per cell]  4 Zn 3.15, 4 Hg 3.15
Sc (0.0000, 0.0000, 0.5000) [4 per cell]  4 Hg 3.15, 4 Zn 3.15
Zn (0.2500, 0.2500, 0.2500) [4 per cell]  4 Sc 3.15, 4 Th 3.15
Hg (0.2500, 0.2500, 0.7500) [4 per cell]  4 Th 3.15, 4 Sc 3.15

Results
Magnetization = 1.81 Bohr magnetons per cell
Formation energy = -227 meV/atom



Entry 3:
Here is a relaxed structure of ZnSb2Ru from Alexandria. Energies are from PBE.

Unit cell a=4.1375 b=4.1375 c=9.1076 alpha=90.00 beta=90.00 gamma=90.00
With the nearest neighbours (Å) after each atom.
Space group I-4m2 (No. 119)
Inequivalent atoms, fractional coordinates:
Zn (0.0000, 0.0000, 0.0000) [2 per cell]  8 Sb 2.93-3.08, 4 Ru 3.08
Sb (0.0000, 0.0000, 0.5000) [2 per cell]  4 Zn 2.93, 4 Sb 3.08, 4 Ru 3.08
Sb (0.0000, 0.5000, 0.2500) [2 per cell]  4 Ru 2.93, 4 Sb 3.08, 4 Zn 3.08
Ru (0.0000, 0.5000, 0.7500) [2 per cell]  8 Sb 2.93-3.08, 4 Zn 3.08

Results
Magnetization = 0.00 Bohr magnetons per cell
Raw formation energy = 1.49 eV/f.u.



Entry 4:
Here is a relaxed structure of Pm4Ga2Ni from Alexandria. Energies are from PBE.

Unit cell a=16.8201 b=3.8458 c=6.1989 alpha=90.00 beta=110.85 gamma=90.00
With the nearest neighbours (Å) after each atom.
Space group C2/m (No. 12)
Inequivalent atoms, fractional coordinates:
Pm (0.0882, 0.0000, 0.4408) [4 per cell]  1 Ni 2.60
Pm (0.1337, 0.5000, 0.9937) [4 per cell]  2 Ni 2.97, 3 Ga 3.16-3.25
Ga (0.2383, 0.5000, 0.6423) [4 per cell]  2 Ga 2.73
Ni (0.0000, 0.0000, 0.0000) [2 per cell]  2 Pm 2.60

Results
Magnetization = 0.00 Bohr magnetons per cell
Formation energy = -302 meV/atom



Entry 5:
Here is a relaxed structure of Y3HoRu from Alexandria. Energies are from PBE.

Unit cell a=11.9994 b=3.9313 c=12.8249 alpha=90.00 beta=113.06 gamma=90.00
With the nearest neighbours (Å) after each atom.
Space group Cm (No. 8)
Inequivalent atoms, fractional coordinates:
Y (0.0000, 0.0000, 0.0000) [2 per cell]  1 Ru 3.08, 2 Ho 3.42
Y (0.0284, 0.0000, 0.3800) [2 per cell]  2 Ru 2.80
Y (0.1912, 0.5000, 0.2363) [2 per cell]  2 Ru 2.95
Y (0.3024, 0.5000, 0.5193) [2 per cell]  3 Ru 2.89-3.11
Y (0.3354, 0.0000, 0.7633) [2 per cell]  2 Ru 2.83
Y (0.3660, 0.0000, 0.1407) [2 per cell]  1 Ru 3.15, 6 Y 3.43-3.52
Ho (0.0589, 0.5000, 0.6247) [2 per cell]  3 Ru 2.88-3.04
Ho (0.1743, 0.5000, 0.9055) [2 per cell]  2 Ru 2.91
Ru (0.0047, 0.0000, 0.7620) [2 per cell]  4 Y 2.83-3.11, 4 Ho 2.88-2.91
Ru (0.3641, 0.0000, 0.3856) [2 per cell]  6 Y 2.80-2.95, 1 Ho 3.04

Results
Magnetization = 0.00 Bohr magnetons per cell
Formation energy = -215 meV/atom



Entry 6:
Here is a relaxed structure of Ca2Ac5Y from Alexandria. Energies are from PBE.

Unit cell a=5.5249 b=5.5249 c=22.3171 alpha=90.00 beta=90.00 gamma=90.00
With the nearest neighbours (Å) after each atom.
Space group I4/mmm (No. 139)
Inequivalent atoms, fractional coordinates:
Ca (0.0000, 0.0000, 0.2493) [4 per cell]  4 Ca 3.91, 8 Ac 3.98-4.00
Ac (0.0000, 0.0000, 0.0000) [2 per cell]  8 Ac 3.87, 4 Y 3.91
Ac (0.0000, 0.5000, 0.1211) [8 per cell]  2 Y 3.87, 6 Ac 3.87-3.91, 4 Ca 3.98-4.00
Y (0.0000, 0.0000, 0.5000) [2 per cell]  12 Ac 3.87-3.91

Results
Magnetization = 0.00 Bohr magnetons per cell
Formation energy = 36 meV/atom